Record 1
Ce4MgPa3P8 (GGA-PBE, optimized geometry); space group = R-3m (166); density of states at the Fermi level = 1.573 states/eV/atom; E_tot = -117.77 eV per formula unit; volume = 366.3 Å³/cell
1.0
4.008 2.314 6.583
-4.008 2.314 6.583
0.000 -4.628 6.583
Ce Mg Pa P
4 1 3 8
direct
0.000 0.000 0.000
0.000 0.500 0.500
0.500 0.000 0.500
0.500 0.500 0.000
0.500 0.500 0.500
0.000 0.000 0.500
0.000 0.500 0.000
0.500 0.000 0.000
0.246 0.746 0.746
0.247 0.247 0.247
0.254 0.254 0.754
0.254 0.754 0.254
0.746 0.246 0.746
0.746 0.746 0.246
0.753 0.753 0.753
0.754 0.254 0.254

---

Record 2
TlRe2Au (GGA-PBE, optimized geometry); space group = Pm (6); density of states at the Fermi level = 0.588 states/eV/atom; relative energy among the computed polymorphs = 0.0000 eV/atom; volume = 74.7 Å³/cell
1.0
2.982 0.000 0.000
0.000 2.989 0.000
-1.317 0.000 8.386
Tl Re Au
1 2 1
direct
0.000 0.000 0.000
0.404 0.500 0.729
0.826 0.000 0.554
0.214 0.500 0.304

---

Record 3
RbCaSn3 (GGA-PBE, optimized geometry); space group = Pm-3m (221); density of states at the Fermi level = 1.040 states/eV/atom; relative energy among the computed polymorphs = 0.0000 eV/atom; volume = 208.1 Å³/cell
1.0
5.926 0.000 0.000
0.000 5.926 0.000
0.000 0.000 5.926
Rb Ca Sn
1 1 3
direct
0.000 0.000 0.000
0.500 0.500 0.500
0.000 0.500 0.500
0.500 0.000 0.500
0.500 0.500 0.000